## SrMgNiSn (PBE)

Data for crystalline SrMgNiSn at its relaxed geometry.

Unit cell a=6.9969 b=6.9969 c=6.9969 alpha=90.00 beta=90.00 gamma=90.00
With the nearest neighbours (Å) after each atom.
Space group F-43m (No. 216)
Asymmetric unit:
Sr: 0.0000 0.0000 0.0000 [4 per cell]  4 Sn 3.03, 4 Mg 3.03
Mg: 0.2500 0.2500 0.7500 [4 per cell]  4 Ni 3.03, 4 Sr 3.03
Ni: 0.0000 0.0000 0.5000 [4 per cell]  4 Sn 3.03, 4 Mg 3.03
Sn: 0.2500 0.2500 0.2500 [4 per cell]  4 Ni 3.03, 4 Sr 3.03

Calculated values
total DFT energy (no corrections) = -3.220 eV per atom
crystal system = cubic
energy above the lowest structure with this stoichiometry = 76 meV per atom


## Cu2Ag (PBE)

Data for crystalline Cu2Ag at its relaxed geometry.

Unit cell a=3.7260 b=11.6863 c=11.4841 alpha=90.00 beta=90.00 gamma=90.00
With the nearest neighbours (Å) after each atom.
Space group Fmm2 (No. 42)
Asymmetric unit:
Cu: 0.0000 0.0000 0.0000 [4 per cell]  4 Cu 2.58-2.70, 6 Ag 2.67-2.80
Cu: 0.0000 0.0000 0.3444 [4 per cell]  8 Cu 2.58-2.71, 4 Ag 2.64-2.68
Cu: 0.0000 0.1679 0.8390 [8 per cell]  8 Cu 2.56-2.71, 4 Ag 2.66-2.77
Cu: 0.0000 0.1715 0.1867 [8 per cell]  6 Cu 2.56-2.70, 5 Ag 2.74-2.81
Ag: 0.0000 0.0000 0.6820 [4 per cell]  10 Cu 2.64-2.80, 2 Ag 2.76
Ag: 0.0000 0.1632 0.5086 [8 per cell]  9 Cu 2.67-2.81, 3 Ag 2.75-2.76

Calculated values
total DFT energy (no corrections) = -3.331 eV per atom
crystal system = orthorhombic
energy of formation = 2.044 kcal/mol of atoms
energy above the lowest structure with this stoichiometry = 43 meV per atom


## CsSmInS3 (PBE)

Data for crystalline CsSmInS3 at its relaxed geometry.

Unit cell a=4.1831 b=16.2929 c=11.4760 alpha=90.00 beta=90.00 gamma=90.00
With the nearest neighbours (Å) after each atom.
Space group Cmcm (No. 63)
Asymmetric unit:
Cs: 0.0000 0.2109 0.2500 [4 per cell]  4 S 3.51-3.73
Sm: 0.0000 0.5000 0.0000 [4 per cell]  6 S 2.82-2.89
In: 0.0000 0.0823 0.7500 [4 per cell]  4 S 2.65-2.69
S: 0.0000 0.1146 0.5238 [8 per cell]  1 In 2.65, 2 Sm 2.82
S: 0.0000 0.4789 0.7500 [4 per cell]  2 In 2.69, 2 Sm 2.89

Calculated values
total DFT energy (no corrections) = -4.688 eV per atom
crystal system = orthorhombic


## ReW (PBE)

Data for crystalline ReW at its relaxed geometry.

Unit cell a=5.1659 b=5.1659 c=16.6907 alpha=90.00 beta=90.00 gamma=120.00
With the nearest neighbours (Å) after each atom.
Space group P6_3/mmc (No. 194)
Asymmetric unit:
Re: 0.0000 0.5000 0.0000 [6 per cell]  2 W 2.58, 4 Re 2.58
Re: 0.1599 0.3198 0.2500 [6 per cell]  4 Re 2.48-2.69, 2 W 2.58
W: 0.0000 0.0000 0.0944 [4 per cell]  9 Re 2.97-3.03, 7 W 3.03-3.15
W: 0.3333 0.6667 0.1263 [4 per cell]  6 Re 2.58
W: 0.3333 0.6667 0.6545 [4 per cell]  9 Re 2.98-3.04, 7 W 3.02-3.19

Calculated values
total DFT energy (no corrections) = -12.416 eV per atom
crystal system = hexagonal
energy of formation = 6.349 kcal/mol of atoms
energy above the lowest structure with this stoichiometry = 174 meV per atom


## Ho2Ge2O5 (PBE)

Data for crystalline Ho2Ge2O5 at its relaxed geometry.

Unit cell a=3.6200 b=3.6200 c=9.3099 alpha=90.00 beta=90.00 gamma=90.00
With the nearest neighbours (Å) after each atom.
Space group P4/mmm (No. 123)
Asymmetric unit:
Ho: 0.0000 0.0000 0.2451 [2 per cell]  5 O 2.16-2.28
Ge: 0.5000 0.5000 0.0000 [1 per cell]  4 O 2.56
Ge: 0.5000 0.5000 0.5000 [1 per cell]  8 O 2.17
O: 0.0000 0.0000 0.0000 [1 per cell]  2 Ho 2.28
O: 0.0000 0.5000 0.3717 [4 per cell]  2 Ho 2.16, 2 Ge 2.17, 1 O 2.39

Calculated values
total DFT energy (no corrections) = -6.709 eV per atom
crystal system = tetragonal
energy above the lowest structure with this stoichiometry = 0 meV per atom


## Zr4CdHgN2 (PBE)

Data for crystalline Zr4CdHgN2 at its relaxed geometry.

Unit cell a=3.3305 b=3.3305 c=14.7247 alpha=90.00 beta=90.00 gamma=120.00
With the nearest neighbours (Å) after each atom.
Space group P-6m2 (No. 187)
Asymmetric unit:
Zr: 0.0000 0.0000 0.1657 [2 per cell]  3 N 2.27
Zr: 0.6667 0.3333 0.3302 [2 per cell]  3 N 2.27
Cd: 0.0000 0.0000 0.5000 [1 per cell]  6 Zr 3.15, 6 Cd 3.33
Hg: 0.6667 0.3333 0.0000 [1 per cell]  6 Zr 3.11, 6 Hg 3.33
N: 0.3333 0.6667 0.2479 [2 per cell]  6 Zr 2.27

Calculated values
total DFT energy (no corrections) = -7.481 eV per atom
crystal system = hexagonal


## Tl8Zn (PBE)

Data for crystalline Tl8Zn at its relaxed geometry.

Unit cell a=10.9639 b=10.9639 c=3.1929 alpha=90.00 beta=90.00 gamma=120.00
With the nearest neighbours (Å) after each atom.
Space group P6/mmm (No. 191)
Asymmetric unit:
Tl: 0.1646 0.3293 0.0000 [6 per cell]  5 Tl 3.13-3.20
Tl: 0.3333 0.6667 0.0000 [2 per cell]  5 Tl 3.19-3.20
Zn: 0.0000 0.0000 0.5000 [1 per cell]  2 Zn 3.19, 12 Tl 3.51

Calculated values
total DFT energy (no corrections) = -2.022 eV per atom
crystal system = hexagonal


## Na2FeCuH6 (PBE)

Data for crystalline Na2FeCuH6 at its relaxed geometry.

Unit cell a=6.9025 b=6.9025 c=6.9025 alpha=90.00 beta=90.00 gamma=90.00
With the nearest neighbours (Å) after each atom.
Space group Fm-3m (No. 225)
Asymmetric unit:
Na: 0.2500 0.2500 0.2500 [8 per cell]  12 H 2.44
Fe: 0.0000 0.0000 0.0000 [4 per cell]  6 H 1.65
Cu: 0.0000 0.0000 0.5000 [4 per cell]  6 H 1.80
H: 0.0000 0.0000 0.2390 [24 per cell]  1 Fe 1.65, 1 Cu 1.80

Calculated values
total DFT energy (no corrections) = -3.501 eV per atom
crystal system = cubic


## SmY2Cu4Sn4 (PBE)

Data for crystalline SmY2Cu4Sn4 at its relaxed geometry.

Unit cell a=4.4737 b=7.0037 c=14.7867 alpha=90.00 beta=90.00 gamma=90.00
With the nearest neighbours (Å) after each atom.
Space group Immm (No. 71)
Asymmetric unit:
Sm: 0.0000 0.0000 0.0000 [2 per cell]  6 Sn 3.07-3.22
Y: 0.0000 0.5000 0.1315 [4 per cell]  6 Sn 3.16-3.28, 6 Cu 3.19-3.22
Cu: 0.0000 0.3140 0.3308 [8 per cell]  1 Cu 2.61, 4 Sn 2.63-2.76
Sn: 0.0000 0.0000 0.2177 [4 per cell]  6 Cu 2.69-2.76
Sn: 0.0000 0.2001 0.5000 [4 per cell]  2 Cu 2.63, 1 Sn 2.80

Calculated values
total DFT energy (no corrections) = -4.939 eV per atom
crystal system = orthorhombic


## ErTmTlNi2 (PBE)

Data for crystalline ErTmTlNi2 at its relaxed geometry.

Unit cell a=3.6569 b=3.8517 c=14.3956 alpha=90.00 beta=90.00 gamma=90.00
With the nearest neighbours (Å) after each atom.
Space group Amm2 (No. 38)
Asymmetric unit:
Er: 0.0000 0.0000 0.0000 [2 per cell]  6 Ni 2.80-2.94
Tm: 0.0000 0.0000 0.2800 [2 per cell]  6 Ni 2.79-2.93
Tl: 0.5000 0.0000 0.6400 [2 per cell]  2 Ni 2.89
Ni: 0.5000 0.0000 0.4394 [2 per cell]  2 Ni 2.39
Ni: 0.5000 0.0000 0.8405 [2 per cell]  2 Ni 2.39

Calculated values
total DFT energy (no corrections) = -5.001 eV per atom
crystal system = orthorhombic


## GdLuNi2 (PBE)

Data for crystalline GdLuNi2 at its relaxed geometry.

Unit cell a=4.1660 b=7.0054 c=5.3892 alpha=90.00 beta=90.00 gamma=90.00
With the nearest neighbours (Å) after each atom.
Space group Pmn2_1 (No. 31)
Asymmetric unit:
Gd: 0.0000 0.0726 0.0000 [2 per cell]  7 Ni 2.88-2.94
Lu: 0.0000 0.5677 0.2342 [2 per cell]  7 Ni 2.80-2.90
Ni: 0.0000 0.2235 0.4980 [2 per cell]  2 Ni 2.55, 3 Lu 2.80-2.85
Ni: 0.0000 0.7019 0.7423 [2 per cell]  2 Ni 2.55, 3 Lu 2.81

Calculated values
total DFT energy (no corrections) = -5.553 eV per atom
crystal system = orthorhombic
energy of formation = -10.944 kcal/mol of atoms
energy above the lowest structure with this stoichiometry = 0 meV per atom


## YHo2Tc (PBE)

Data for crystalline YHo2Tc at its relaxed geometry.

Unit cell a=3.9095 b=11.8373 c=9.1023 alpha=90.00 beta=90.00 gamma=90.00
With the nearest neighbours (Å) after each atom.
Space group Cmcm (No. 63)
Asymmetric unit:
Y: 0.0000 0.0714 0.2500 [4 per cell]  2 Tc 2.80
Ho: 0.0000 0.3553 0.0658 [8 per cell]  3 Tc 2.91-3.09
Tc: 0.0000 0.2590 0.7500 [4 per cell]  2 Y 2.80, 6 Ho 2.91-3.09

Calculated values
total DFT energy (no corrections) = -6.604 eV per atom
crystal system = orthorhombic
energy of formation = -2.514 kcal/mol of atoms